1.
## BaZrAs2 (PBE-GGA)

Data for a geometry-optimized BaZrAs2 structure.

Calculated values
Mass density in Mg/m³: 6.32
Raw total energy in eV/atom: -5.755
DOS(E_F) in states/eV per atom: 0.409
Space-group type: No. 10
Calculated formation energy in eV per atom: -0.8124
Polymorph energy (0 for the lowest one) in eV/atom: 0.2703

Lattice parameters (Å, degrees): 3.663 3.563 8.014 71.78 90.00 90.00
Element x y z (fractional)
As (0.000, 0.025, 0.950)
As (0.000, 0.475, 0.550)
Ba (0.500, 0.250, 0.250)
Zr (0.500, 0.750, 0.750)

2.
## LiNi2Rh (PBE-GGA)

Data for a geometry-optimized LiNi2Rh structure.

Calculated values
Mass density in Mg/m³: 7.94
Raw total energy in eV/atom: -5.182
DOS(E_F) in states/eV per atom: 0.746
Space-group type: No. 216
Calculated formation energy in eV per atom: 0.0249

Lattice parameters (Å, degrees): 4.066 4.066 4.066 60.00 60.00 60.00
Each line ends with the local moment (μB).
Element x y z (fractional)
Li (0.500, 0.500, 0.500)  -0.01
Ni (0.000, 0.000, 0.000)  0.88
Ni (0.250, 0.250, 0.250)  0.68
Rh (0.750, 0.750, 0.750)  0.80

3.
## Al2SnRh2 (PBE-GGA)

Data for a geometry-optimized Al2SnRh2 structure.

Calculated values
Mass density in Mg/m³: 7.85
Raw total energy in eV/atom: -5.886
DOS(E_F) in states/eV per atom: 0.441
Space-group type: No. 127
Calculated formation energy in eV per atom: -0.6479
Polymorph energy (0 for the lowest one) in eV/atom: 0.0000

Lattice parameters (Å, degrees): 7.309 7.309 2.998 90.00 90.00 90.00
Element x y z (fractional)
Rh (0.350, 0.850, 0.000)
Rh (0.850, 0.650, 0.000)
Rh (0.650, 0.150, 0.000)
Rh (0.150, 0.350, 0.000)
Sn (0.000, 0.000, 0.000)
Sn (0.500, 0.500, 0.000)
Al (0.142, 0.642, 0.500)
Al (0.642, 0.858, 0.500)
Al (0.858, 0.358, 0.500)
Al (0.358, 0.142, 0.500)

4.
## Ca2CdC (PBE-GGA)

Data for a geometry-optimized Ca2CdC structure.

Calculated values
Mass density in Mg/m³: 3.94
Raw total energy in eV/atom: -2.953
DOS(E_F) in states/eV per atom: 0.010
Space-group type: No. 225
Calculated formation energy in eV per atom: 0.5829

Lattice parameters (Å, degrees): 4.959 4.959 4.959 60.00 60.00 60.00
Element x y z (fractional)
Ca (0.250, 0.250, 0.250)
Ca (0.750, 0.750, 0.750)
C (0.000, 0.000, 0.000)
Cd (0.500, 0.500, 0.500)

5.
## Co2NiMo (PBE-GGA)

Data for a geometry-optimized Co2NiMo structure.

Calculated values
Mass density in Mg/m³: 9.58
Raw total energy in eV/atom: -7.703
DOS(E_F) in states/eV per atom: 1.192
Space-group type: No. 119
Calculated formation energy in eV per atom: 0.0027
Polymorph energy (0 for the lowest one) in eV/atom: 0.0154

Lattice parameters (Å, degrees): 4.471 4.471 4.471 132.81 132.83 68.94
Each line ends with the local moment (μB).
Element x y z (fractional)
Ni (0.250, 0.750, 0.500)  0.18
Mo (0.500, 0.500, 0.000)  -0.12
Co (0.000, 0.000, 0.000)  0.80
Co (0.750, 0.250, 0.500)  0.55

6.
## Sc2Zn2S (PBE-GGA)

Data for a geometry-optimized Sc2Zn2S structure.

Calculated values
Mass density in Mg/m³: 4.48
Raw total energy in eV/atom: -4.239
DOS(E_F) in states/eV per atom: 0.483
Space-group type: No. 127
Uncorrected formation energy in eV per atom: -0.37
Polymorph energy (0 for the lowest one) in eV/atom: 0.2754

Lattice parameters (Å, degrees): 6.813 6.813 4.041 90.00 90.00 90.00
Element x y z (fractional)
Sc (0.165, 0.665, 0.500)
Sc (0.665, 0.835, 0.500)
Sc (0.835, 0.335, 0.500)
Sc (0.335, 0.165, 0.500)
Zn (0.370, 0.870, 0.000)
Zn (0.870, 0.630, 0.000)
Zn (0.630, 0.130, 0.000)
Zn (0.130, 0.370, 0.000)
S (0.000, 0.000, 0.000)
S (0.500, 0.500, 0.000)

7.
## MnRe (PBE-GGA)

Data for a geometry-optimized MnRe structure.

Calculated values
Mass density in Mg/m³: 13.91
Raw total energy in eV/atom: -9.726
DOS(E_F) in states/eV per atom: 1.298
Space-group type: No. 225
Calculated formation energy in eV per atom: 1.0831

Lattice parameters (Å, degrees): 3.440 3.440 3.440 60.00 60.00 60.00
Each line ends with the local moment (μB).
Element x y z (fractional)
Mn (0.000, 0.000, 0.000)  0.38
Re (0.500, 0.500, 0.500)  -0.17

8.
## Dy7GaSi5 (PBE-GGA)

Data for a geometry-optimized Dy7GaSi5 structure.

Calculated values
Mass density in Mg/m³: 7.29
Raw total energy in eV/atom: -5.217
DOS(E_F) in states/eV per atom: 0.790
Space-group type: No. 44
Uncorrected formation energy in eV per atom: -0.42

Lattice parameters (Å, degrees): 5.829 7.834 7.834 86.87 68.16 68.16
Element x y z (fractional)
Dy (0.642, 0.358, 0.358)
Dy (0.253, 0.747, 0.747)
Dy (0.989, 0.334, 0.688)
Dy (0.989, 0.688, 0.334)
Dy (0.286, 0.214, 0.214)
Dy (0.543, 0.791, 0.122)
Dy (0.543, 0.122, 0.791)
Ga (0.948, 0.052, 0.052)
Si (0.471, 0.001, 0.482)
Si (0.046, 0.001, 0.482)
Si (0.471, 0.482, 0.001)
Si (0.046, 0.482, 0.001)
Si (0.773, 0.727, 0.727)

9.
## PmNdAlIn (PBE-GGA)

Data for a geometry-optimized PmNdAlIn structure.

Calculated values
Mass density in Mg/m³: 6.56
Raw total energy in eV/atom: -4.422
DOS(E_F) in states/eV per atom: 0.522
Space-group type: No. 99
Calculated formation energy in eV per atom: -0.4219
Polymorph energy (0 for the lowest one) in eV/atom: 0.0000

Lattice parameters (Å, degrees): 3.776 3.776 7.650 90.00 90.00 90.00
Element x y z (fractional)
Pm (0.500, 0.500, 0.117)
Nd (0.500, 0.500, 0.597)
Al (0.000, 0.000, 0.354)
In (0.000, 0.000, 0.860)

10.
## In2Bi2Pd (PBE-GGA)

Data for a geometry-optimized In2Bi2Pd structure.

Calculated values
Mass density in Mg/m³: 9.34
Raw total energy in eV/atom: -3.648
DOS(E_F) in states/eV per atom: 0.456
Space-group type: No. 127
Calculated formation energy in eV per atom: 0.0385
Polymorph energy (0 for the lowest one) in eV/atom: 0.1465

Lattice parameters (Å, degrees): 7.171 7.171 5.210 90.00 90.00 90.00
Element x y z (fractional)
Bi (0.161, 0.661, 0.500)
Bi (0.661, 0.839, 0.500)
Bi (0.839, 0.339, 0.500)
Bi (0.339, 0.161, 0.500)
Pd (0.000, 0.000, 0.000)
Pd (0.500, 0.500, 0.000)
In (0.348, 0.848, 0.000)
In (0.848, 0.652, 0.000)
In (0.652, 0.152, 0.000)
In (0.152, 0.348, 0.000)

11.
## Pr2ZnSi3Pd4 (PBE-GGA)

Data for a geometry-optimized Pr2ZnSi3Pd4 structure.

Calculated values
Mass density in Mg/m³: 7.70
Raw total energy in eV/atom: -5.637
DOS(E_F) in states/eV per atom: 0.525
Space-group type: No. 115
Uncorrected formation energy in eV per atom: -0.85

Lattice parameters (Å, degrees): 4.297 4.297 10.009 90.00 90.00 90.00
Element x y z (fractional)
Pr (0.500, 0.000, 0.252)
Pr (0.000, 0.500, 0.748)
Zn (0.500, 0.500, 0.500)
Si (0.000, 0.000, 0.500)
Si (0.500, 0.000, 0.873)
Si (0.000, 0.500, 0.127)
Pd (0.500, 0.500, 0.000)
Pd (0.000, 0.000, 0.000)
Pd (0.500, 0.000, 0.631)
Pd (0.000, 0.500, 0.369)

12.
## Y2TaO2 (PBE-GGA)

Data for a geometry-optimized Y2TaO2 structure.

Calculated values
Mass density in Mg/m³: 6.57
Raw total energy in eV/atom: -8.512
DOS(E_F) in states/eV per atom: 0.808
Space-group type: No. 139
Uncorrected formation energy in eV per atom: -1.57
Polymorph energy (0 for the lowest one) in eV/atom: 0.0000

Lattice parameters (Å, degrees): 4.908 4.908 5.374 62.83 62.83 90.00
Element x y z (fractional)
Y (0.750, 0.250, 0.500)
Y (0.250, 0.750, 0.500)
O (0.239, 0.239, 0.521)
O (0.761, 0.761, 0.479)
Ta (0.000, 0.000, 0.000)